[1]
A relaxed NdDy2HoTl2 crystal, computed with PBE.

a b c (Å): 5.140 10.053 6.844
angles (deg): 90.00 90.00 90.00
Atoms (fractional coordinates):
Nd 0.000 0.043 0.000
Nd 0.000 0.957 0.500
Dy 0.000 0.318 0.378
Dy 0.000 0.682 0.878
Dy 0.500 0.456 0.093
Dy 0.500 0.544 0.593
Ho 0.500 0.192 0.721
Ho 0.500 0.808 0.221
Tl 0.000 0.367 0.839
Tl 0.000 0.633 0.339
Tl 0.500 0.137 0.263
Tl 0.500 0.863 0.763

The value obtained for the raw total energy is -4.148 eV per atom. Its space group is Pmc2_1. The density of states at the Fermi level comes out at 1.01 states/eV per atom. Its crystal system is orthorhombic. For the formation energy, the calculation gives -1.6 eV/f.u. Its magnetization is 0.00 Bohr magnetons per cell.

---

[2]
A relaxed SrRh2Au crystal, computed with PBE.

a b c (Å): 5.701 5.701 5.701
angles (deg): 146.99 128.74 62.33
Atoms (fractional coordinates):
Sr 0.000 0.000 0.000
Rh 0.269 0.769 0.500
Rh 0.731 0.231 0.500
Au 0.500 0.500 0.000

The value obtained for the raw total energy is -4.786 eV per atom. Its space group is Immm. The density of states at the Fermi level comes out at 1.13 states/eV per atom. Its crystal system is orthorhombic. For the formation energy, the calculation gives 0.5 eV/f.u. Its magnetization is 0.00 Bohr magnetons per cell.

---

[3]
A relaxed SiPt2W crystal, computed with PBE.

a b c (Å): 8.253 8.253 8.253
angles (deg): 149.29 149.29 43.99
Atoms (fractional coordinates):
Si 0.000 0.000 0.000
Si 0.750 0.250 0.500
Pt 0.088 0.625 0.963
Pt 0.375 0.338 0.463
Pt 0.662 0.125 0.037
Pt 0.875 0.912 0.537
W 0.250 0.750 0.500
W 0.500 0.500 0.000

The value obtained for the raw total energy is -7.356 eV per atom. Its space group is I-42d. The density of states at the Fermi level comes out at 0.28 states/eV per atom. Its crystal system is tetragonal. The energy relative to the elements, uncorrected comes out at 0.26 eV/atom. Its magnetization is 0.00 Bohr magnetons per cell.

---

[4]
A relaxed Be3Al4 crystal, computed with PBE.

a b c (Å): 12.789 12.789 12.789
angles (deg): 167.93 167.93 17.10
Atoms (fractional coordinates):
Be 0.000 0.000 0.000
Be 0.275 0.275 0.000
Be 0.725 0.725 0.000
Al 0.156 0.156 0.000
Al 0.432 0.432 0.000
Al 0.568 0.568 0.000
Al 0.844 0.844 0.000

The value obtained for the raw total energy is -3.567 eV per atom. Its space group is I4/mmm. The density of states at the Fermi level comes out at 0.32 states/eV per atom. Its crystal system is tetragonal. For the formation energy, the calculation gives 1.2 eV/f.u. Its magnetization is 0.00 Bohr magnetons per cell.

---

[5]
A relaxed AcYTm3 crystal, computed with PBE.

a b c (Å): 6.322 5.766 9.661
angles (deg): 90.00 108.80 90.00
Atoms (fractional coordinates):
Ac 0.070 0.250 0.303
Ac 0.930 0.750 0.697
Y 0.137 0.750 0.099
Y 0.863 0.250 0.901
Tm 0.277 0.250 0.707
Tm 0.339 0.750 0.501
Tm 0.466 0.250 0.095
Tm 0.534 0.750 0.905
Tm 0.661 0.250 0.499
Tm 0.723 0.750 0.293

The value obtained for the raw total energy is -4.750 eV per atom. Its space group is P2_1/m. The density of states at the Fermi level comes out at 1.81 states/eV per atom. Its crystal system is monoclinic. For the formation energy, the calculation gives 0.2 eV/f.u. Its magnetization is 0.00 Bohr magnetons per cell.

---

[6]
A relaxed TmVBi crystal, computed with PBE.

a b c (Å): 6.159 6.159 8.218
angles (deg): 90.00 90.00 112.22
Atoms (fractional coordinates):
Tm 0.146 0.354 0.250
Tm 0.354 0.146 0.750
Tm 0.646 0.854 0.250
Tm 0.854 0.646 0.750
V 0.087 0.913 0.447
V 0.413 0.587 0.947
V 0.587 0.413 0.053
V 0.913 0.087 0.553
Bi 0.151 0.849 0.095
Bi 0.349 0.651 0.595
Bi 0.651 0.349 0.405
Bi 0.849 0.151 0.905

The value obtained for the raw total energy is -5.901 eV per atom. Its space group is Cmce. The density of states at the Fermi level comes out at 0.76 states/eV per atom. Its crystal system is orthorhombic. For the formation energy, the calculation gives -0.2 eV/f.u. Its magnetization is 0.00 Bohr magnetons per cell.